Below is a geometry-optimized SnSb2Mo structure, with properties calculated at the PBE-GGA level.

Its space group is F-43m (216). As for the total DFT energy (no corrections): -5.1474 eV/atom.

Unit cell a=5.018 b=5.018 c=5.018 alpha=60.00 beta=60.00 gamma=60.00
Last column: magnetic moment on the atom in μB.
Fractional coordinates of all 4 atoms:
Mo: 0.500 0.500 0.500  0.24
Sn: 0.750 0.750 0.750  -0.01
Sb: 0.250 0.250 0.250  -0.01
Sb: 0.000 0.000 0.000  -0.01

=====

Below is a geometry-optimized Sn2SbMo structure, with properties calculated at the PBE-GGA level.

Its space group is F-43m (216). As for the total DFT energy (no corrections): -5.1655 eV/atom.

Unit cell a=5.013 b=5.013 c=5.013 alpha=60.00 beta=60.00 gamma=60.00
Last column: magnetic moment on the atom in μB.
Fractional coordinates of all 4 atoms:
Sb: 0.000 0.000 0.000  -0.03
Sn: 0.500 0.500 0.500  -0.01
Mo: 0.750 0.750 0.750  1.11
Sn: 0.250 0.250 0.250  -0.01

=====

Below is a geometry-optimized TcSbMo structure, with properties calculated at the PBE-GGA level.

The value obtained for the energy above the most stable polymorph in this dataset is 0 meV/atom. Its space group is F-43m (216).

Unit cell a=4.346 b=4.346 c=4.346 alpha=60.00 beta=60.00 gamma=60.00
Fractional coordinates of all 3 atoms:
Mo: 0.500 0.500 0.500
Sb: 0.000 0.000 0.000
Tc: 0.750 0.750 0.750